No. 1
## BaSr3Ir (SCAN)

Data for BaSr3Ir at its PBEsol-relaxed geometry.

Properties
The calculated formation energy comes out at -108 meV/atom. The total moment is 0.09 μB per atom. The value obtained for the volume is 207.3 Å³ per cell. The value obtained for the calculated total energy is -35.6031 eV/atom.

abc: 5.9185 5.9185 5.9185
angles: 90.00 90.00 90.00
Last column: nearest neighbours and their distance in Å.
Atoms (fractional coordinates):
Ba 0.0000 0.0000 0.0000  12 Sr 4.19
Sr 0.0000 0.5000 0.5000  2 Ir 2.96
Sr 0.5000 0.0000 0.5000  2 Ir 2.96
Sr 0.5000 0.5000 0.0000  2 Ir 2.96
Ir 0.5000 0.5000 0.5000  6 Sr 2.96


No. 2
## CaPtAu2 (SCAN)

Data for CaPtAu2 at its PBEsol-relaxed geometry.

Properties
The calculated formation energy comes out at -476 meV/atom. The total moment is 0.00 μB per atom. The value obtained for the volume is 72.1 Å³ per cell. The value obtained for the calculated total energy is -55.0187 eV/atom.

abc: 3.0345 4.2070 5.6515
angles: 90.00 90.00 90.00
Last column: nearest neighbours and their distance in Å.
Atoms (fractional coordinates):
Ca 0.0000 0.0000 0.0000  2 Pt 2.83, 8 Au 2.98, 2 Ca 3.03
Pt 0.0000 0.0000 0.5000  2 Ca 2.83, 8 Au 2.93, 2 Pt 3.03
Au 0.5000 0.5000 0.2599  4 Au 2.71-3.03, 4 Pt 2.93, 4 Ca 2.98
Au 0.5000 0.5000 0.7401  4 Au 2.71-3.03, 4 Pt 2.93, 4 Ca 2.98


No. 3
## BiAs3F (SCAN)

Data for BiAs3F at its PBEsol-relaxed geometry.

Properties
The total moment is 0.00 μB per atom. The value obtained for the volume is 98.8 Å³ per cell. The calculation puts the energy relative to the elements, uncorrected at 0.31 eV/atom. The value obtained for the calculated total energy is -28.2310 eV/atom.

abc: 4.6223 4.6223 4.6223
angles: 90.00 90.00 90.00
Last column: nearest neighbours and their distance in Å.
Atoms (fractional coordinates):
Bi 0.0000 0.0000 0.0000  12 As 3.27
As 0.0000 0.5000 0.5000  2 F 2.31
As 0.5000 0.0000 0.5000  2 F 2.31
As 0.5000 0.5000 0.0000  2 F 2.31
F 0.5000 0.5000 0.5000  6 As 2.31


No. 4
## CsCr2Rh (SCAN)

Data for CsCr2Rh at its PBEsol-relaxed geometry.

Properties
The calculated formation energy comes out at 1926 meV/atom. The total moment is 0.00 μB per atom. The value obtained for the volume is 61.4 Å³ per cell. The value obtained for the calculated total energy is -25.1621 eV/atom.

abc: 4.4292 4.4292 4.4292
angles: 60.00 60.00 60.00
Last column: nearest neighbours and their distance in Å.
Atoms (fractional coordinates):
Cs 0.0000 0.0000 0.0000  8 Cr 2.71
Cr 0.2500 0.2500 0.2500  4 Rh 2.71, 4 Cs 2.71
Cr 0.7500 0.7500 0.7500  4 Rh 2.71, 4 Cs 2.71
Rh 0.5000 0.5000 0.5000  8 Cr 2.71